[1]
Below is EuPaAu2 after structural relaxation, with properties calculated at the PBE level.

Formation energy   -0.447 eV/atom
Symmetry   P4/mmm (123)
Crystal system   tetragonal
Total magnetic moment   8.40 μB/f.u.
DFT total energy   -7.028 eV per atom

```
data_EuPaAu2
_chemical_formula_sum 'Eu1 Pa1 Au2'
_cell_length_a 3.555
_cell_length_b 3.555
_cell_length_c 7.856
_cell_angle_alpha 90.00
_cell_angle_beta 90.00
_cell_angle_gamma 90.00
_space_group_name_H-M_alt 'P 1'
_space_group_IT_number 1
_space_group_name_Hall 'P 1'
loop_
_atom_site_label
_atom_site_type_symbol
_atom_site_fract_x
_atom_site_fract_y
_atom_site_fract_z
Eu1 Eu 0.000 0.000 0.000
Pa1 Pa 0.000 0.000 0.500
Au1 Au 0.500 0.500 0.266
Au2 Au 0.500 0.500 0.734
```

***

[2]
Below is EuPaPtAu after structural relaxation, with properties calculated at the PBE level.

Formation energy   -0.573 eV/atom
Symmetry   F-43m (216)
Crystal system   cubic
Total magnetic moment   7.88 μB/f.u.
DFT total energy   -7.845 eV per atom

```
data_EuPaPtAu
_chemical_formula_sum 'Eu1 Pa1 Pt1 Au1'
_cell_length_a 5.090
_cell_length_b 5.090
_cell_length_c 5.090
_cell_angle_alpha 60.00
_cell_angle_beta 60.00
_cell_angle_gamma 60.00
_space_group_name_H-M_alt 'P 1'
_space_group_IT_number 1
_space_group_name_Hall 'P 1'
loop_
_atom_site_label
_atom_site_type_symbol
_atom_site_fract_x
_atom_site_fract_y
_atom_site_fract_z
Eu1 Eu 0.000 0.000 0.000
Pa1 Pa 0.500 0.500 0.500
Pt1 Pt 0.250 0.250 0.250
Au1 Au 0.750 0.750 0.750
```

***

[3]
Below is EuPaSbAu after structural relaxation, with properties calculated at the PBE level.

Symmetry   F-43m (216)
Crystal system   cubic
Total magnetic moment   9.85 μB/f.u.
DFT total energy   -7.229 eV per atom

```
data_EuPaSbAu
_chemical_formula_sum 'Eu1 Pa1 Sb1 Au1'
_cell_length_a 5.321
_cell_length_b 5.321
_cell_length_c 5.321
_cell_angle_alpha 60.00
_cell_angle_beta 60.00
_cell_angle_gamma 60.00
_space_group_name_H-M_alt 'P 1'
_space_group_IT_number 1
_space_group_name_Hall 'P 1'
loop_
_atom_site_label
_atom_site_type_symbol
_atom_site_fract_x
_atom_site_fract_y
_atom_site_fract_z
Eu1 Eu 0.000 0.000 0.000
Pa1 Pa 0.500 0.500 0.500
Sb1 Sb 0.750 0.750 0.750
Au1 Au 0.250 0.250 0.250
```

***

[4]
Below is EuPbAu after structural relaxation, with properties calculated at the PBE level.

Formation energy   -0.588 eV/atom
Symmetry   P-6m2 (187)
Crystal system   hexagonal
Total magnetic moment   6.99 μB/f.u.
DFT total energy   -6.342 eV per atom

```
data_EuPbAu
_chemical_formula_sum 'Eu1 Pb1 Au1'
_cell_length_a 4.990
_cell_length_b 4.990
_cell_length_c 3.778
_cell_angle_alpha 90.00
_cell_angle_beta 90.00
_cell_angle_gamma 120.00
_space_group_name_H-M_alt 'P 1'
_space_group_IT_number 1
_space_group_name_Hall 'P 1'
loop_
_atom_site_label
_atom_site_type_symbol
_atom_site_fract_x
_atom_site_fract_y
_atom_site_fract_z
Eu1 Eu 0.000 0.000 0.000
Pb1 Pb 0.667 0.333 0.500
Au1 Au 0.333 0.667 0.500
```

***

[5]
Below is EuPbAu after structural relaxation, with properties calculated at the PBE level.

Formation energy   -0.470 eV/atom
Symmetry   I4mm (107)
Crystal system   tetragonal
Total magnetic moment   7.07 μB/f.u.
DFT total energy   -6.223 eV per atom

```
data_EuPbAu
_chemical_formula_sum 'Eu1 Pb1 Au1'
_cell_length_a 6.442
_cell_length_b 6.442
_cell_length_c 6.442
_cell_angle_alpha 146.28
_cell_angle_beta 146.28
_cell_angle_gamma 48.43
_space_group_name_H-M_alt 'P 1'
_space_group_IT_number 1
_space_group_name_Hall 'P 1'
loop_
_atom_site_label
_atom_site_type_symbol
_atom_site_fract_x
_atom_site_fract_y
_atom_site_fract_z
Eu1 Eu 0.000 0.000 0.000
Pb1 Pb 0.704 0.704 0.000
Au1 Au 0.352 0.352 0.000
```

***

[6]
Below is EuPbAu2 after structural relaxation, with properties calculated at the PBE level.

Formation energy   -0.550 eV/atom
Symmetry   Fm-3m (225)
Crystal system   cubic
Total magnetic moment   6.94 μB/f.u.
DFT total energy   -5.684 eV per atom

```
data_EuPbAu2
_chemical_formula_sum 'Eu1 Pb1 Au2'
_cell_length_a 5.168
_cell_length_b 5.168
_cell_length_c 5.168
_cell_angle_alpha 60.00
_cell_angle_beta 60.00
_cell_angle_gamma 60.00
_space_group_name_H-M_alt 'P 1'
_space_group_IT_number 1
_space_group_name_Hall 'P 1'
loop_
_atom_site_label
_atom_site_type_symbol
_atom_site_fract_x
_atom_site_fract_y
_atom_site_fract_z
Eu1 Eu 0.000 0.000 0.000
Pb1 Pb 0.500 0.500 0.500
Au1 Au 0.250 0.250 0.250
Au2 Au 0.750 0.750 0.750
```

***

[7]
Below is EuPbAu2 after structural relaxation, with properties calculated at the PBE level.

Formation energy   -0.477 eV/atom
Symmetry   P4/mmm (123)
Crystal system   tetragonal
Total magnetic moment   7.13 μB/f.u.
DFT total energy   -5.611 eV per atom

```
data_EuPbAu2
_chemical_formula_sum 'Eu1 Pb1 Au2'
_cell_length_a 4.975
_cell_length_b 4.975
_cell_length_c 4.009
_cell_angle_alpha 90.00
_cell_angle_beta 90.00
_cell_angle_gamma 90.00
_space_group_name_H-M_alt 'P 1'
_space_group_IT_number 1
_space_group_name_Hall 'P 1'
loop_
_atom_site_label
_atom_site_type_symbol
_atom_site_fract_x
_atom_site_fract_y
_atom_site_fract_z
Eu1 Eu 0.000 0.000 0.000
Pb1 Pb 0.500 0.500 0.000
Au1 Au 0.000 0.500 0.500
Au2 Au 0.500 0.000 0.500
```

***

[8]
Below is EuPdPbAu after structural relaxation, with properties calculated at the PBE level.

Formation energy   -0.497 eV/atom
Symmetry   F-43m (216)
Crystal system   cubic
Total magnetic moment   6.96 μB/f.u.
DFT total energy   -6.110 eV per atom

```
data_EuPdPbAu
_chemical_formula_sum 'Eu1 Pd1 Pb1 Au1'
_cell_length_a 5.076
_cell_length_b 5.076
_cell_length_c 5.076
_cell_angle_alpha 60.00
_cell_angle_beta 60.00
_cell_angle_gamma 60.00
_space_group_name_H-M_alt 'P 1'
_space_group_IT_number 1
_space_group_name_Hall 'P 1'
loop_
_atom_site_label
_atom_site_type_symbol
_atom_site_fract_x
_atom_site_fract_y
_atom_site_fract_z
Eu1 Eu 0.000 0.000 0.000
Pd1 Pd 0.250 0.250 0.250
Pb1 Pb 0.500 0.500 0.500
Au1 Au 0.750 0.750 0.750
```

***

[9]
Below is EuPtPbAu after structural relaxation, with properties calculated at the PBE level.

Formation energy   -0.515 eV/atom
Symmetry   F-43m (216)
Crystal system   cubic
Total magnetic moment   6.86 μB/f.u.
DFT total energy   -6.341 eV per atom

```
data_EuPtPbAu
_chemical_formula_sum 'Eu1 Pt1 Pb1 Au1'
_cell_length_a 5.081
_cell_length_b 5.081
_cell_length_c 5.081
_cell_angle_alpha 60.00
_cell_angle_beta 60.00
_cell_angle_gamma 60.00
_space_group_name_H-M_alt 'P 1'
_space_group_IT_number 1
_space_group_name_Hall 'P 1'
loop_
_atom_site_label
_atom_site_type_symbol
_atom_site_fract_x
_atom_site_fract_y
_atom_site_fract_z
Eu1 Eu 0.000 0.000 0.000
Pt1 Pt 0.250 0.250 0.250
Pb1 Pb 0.500 0.500 0.500
Au1 Au 0.750 0.750 0.750
```

***

[10]
Below is SmEuPbAu after structural relaxation, with properties calculated at the PBE level.

Formation energy   -0.646 eV/atom
Symmetry   F-43m (216)
Crystal system   cubic
Total magnetic moment   7.22 μB/f.u.
DFT total energy   -6.141 eV per atom

```
data_SmEuPbAu
_chemical_formula_sum 'Sm1 Eu1 Pb1 Au1'
_cell_length_a 5.423
_cell_length_b 5.423
_cell_length_c 5.423
_cell_angle_alpha 60.00
_cell_angle_beta 60.00
_cell_angle_gamma 60.00
_space_group_name_H-M_alt 'P 1'
_space_group_IT_number 1
_space_group_name_Hall 'P 1'
loop_
_atom_site_label
_atom_site_type_symbol
_atom_site_fract_x
_atom_site_fract_y
_atom_site_fract_z
Sm1 Sm 0.000 0.000 0.000
Eu1 Eu 0.500 0.500 0.500
Pb1 Pb 0.250 0.250 0.250
Au1 Au 0.750 0.750 0.750
```

***

[11]
Below is EuSnPbAu after structural relaxation, with properties calculated at the PBE level.

Formation energy   -0.368 eV/atom
Symmetry   F-43m (216)
Crystal system   cubic
Total magnetic moment   7.03 μB/f.u.
DFT total energy   -5.684 eV per atom

```
data_EuSnPbAu
_chemical_formula_sum 'Eu1 Sn1 Pb1 Au1'
_cell_length_a 5.350
_cell_length_b 5.350
_cell_length_c 5.350
_cell_angle_alpha 60.00
_cell_angle_beta 60.00
_cell_angle_gamma 60.00
_space_group_name_H-M_alt 'P 1'
_space_group_IT_number 1
_space_group_name_Hall 'P 1'
loop_
_atom_site_label
_atom_site_type_symbol
_atom_site_fract_x
_atom_site_fract_y
_atom_site_fract_z
Eu1 Eu 0.000 0.000 0.000
Sn1 Sn 0.250 0.250 0.250
Pb1 Pb 0.500 0.500 0.500
Au1 Au 0.750 0.750 0.750
```

***

[12]
Below is SrEuPbAu after structural relaxation, with properties calculated at the PBE level.

Formation energy   -0.613 eV/atom
Symmetry   F-43m (216)
Crystal system   cubic
Total magnetic moment   6.91 μB/f.u.
DFT total energy   -5.348 eV per atom

```
data_SrEuPbAu
_chemical_formula_sum 'Sr1 Eu1 Pb1 Au1'
_cell_length_a 5.556
_cell_length_b 5.556
_cell_length_c 5.556
_cell_angle_alpha 60.00
_cell_angle_beta 60.00
_cell_angle_gamma 60.00
_space_group_name_H-M_alt 'P 1'
_space_group_IT_number 1
_space_group_name_Hall 'P 1'
loop_
_atom_site_label
_atom_site_type_symbol
_atom_site_fract_x
_atom_site_fract_y
_atom_site_fract_z
Sr1 Sr 0.000 0.000 0.000
Eu1 Eu 0.500 0.500 0.500
Pb1 Pb 0.250 0.250 0.250
Au1 Au 0.750 0.750 0.750
```